(1)
A plane-wave DFT calculation with PBE was carried out for an optimized crystal structure of PaGaCo3.

Lattice parameters (Å, degrees): 4.8416 4.4702 7.3686 90.00 109.18 90.00
Each line ends with the local moment (μB).
Sites, in units of the cell vectors:
1 Pa 0.1929 0.2500 0.3858  -0.25
2 Pa 0.8071 0.7500 0.6142  -0.25
3 Ga 0.5556 0.2500 0.1111  -0.03
4 Ga 0.4444 0.7500 0.8889  -0.03
5 Co 0.1350 0.2500 0.7430  0.21
6 Co 0.6080 0.2500 0.7430  0.21
7 Co 0.3920 0.7500 0.2570  0.21
8 Co 0.8650 0.7500 0.2570  0.21
9 Co 0.0000 0.0000 0.0000  1.09
10 Co 0.0000 0.5000 0.0000  1.09

Values from the calculation:
N(E_F) = 9.39 states/eV/cell
Calculated total energy = -6.938 eV per atom
Calculated formation energy = -0.17 eV/atom
Magnetic moment = 1.14 μB/f.u.

(2)
A plane-wave DFT calculation with PBE was carried out for an optimized crystal structure of CeInGa2Cl6.

Lattice parameters (Å, degrees): 7.3381 8.1074 10.8186 90.00 87.45 90.00
Each line ends with the local moment (μB).
Sites, in units of the cell vectors:
1 Ce 0.5000 0.0000 0.5000  0.98
2 Ce 0.0000 0.5000 0.0000  0.98
3 In 0.5000 0.0000 0.0000  0.00
4 In 0.0000 0.5000 0.5000  0.00
5 Ga 0.0188 0.9523 0.2602  0.00
6 Ga 0.5188 0.5477 0.7602  0.00
7 Ga 0.9812 0.0477 0.7398  0.00
8 Ga 0.4812 0.4523 0.2398  0.00
9 Cl 0.3194 0.6566 0.0607  -0.01
10 Cl 0.8194 0.8434 0.5607  -0.01
11 Cl 0.6806 0.3434 0.9393  -0.01
12 Cl 0.1806 0.1566 0.4393  -0.01
13 Cl 0.3599 0.7071 0.4129  -0.01
14 Cl 0.8599 0.7929 0.9129  -0.01
15 Cl 0.6401 0.2929 0.5871  -0.01
16 Cl 0.1401 0.2071 0.0871  -0.01
17 Cl 0.8349 0.5740 0.2305  0.00
18 Cl 0.3349 0.9260 0.7305  0.00
19 Cl 0.1651 0.4260 0.7695  0.00
20 Cl 0.6651 0.0740 0.2695  0.00

Values from the calculation:
N(E_F) = 17.22 states/eV/cell
Calculated total energy = -3.900 eV per atom
Magnetic moment = 1.00 μB/f.u.
E_form (uncorrected) = -1.32 eV/atom

(3)
A plane-wave DFT calculation with PBE was carried out for an optimized crystal structure of Hf4NO.

Lattice parameters (Å, degrees): 5.1151 6.4951 6.4095 119.57 90.00 90.00
Sites, in units of the cell vectors:
1 Hf 0.7522 0.3353 0.1646
2 Hf 0.7478 0.8353 0.1646
3 Hf 0.2532 0.6620 0.3273
4 Hf 0.7532 0.8380 0.6727
5 Hf 0.2468 0.1620 0.3273
6 Hf 0.7468 0.3380 0.6727
7 Hf 0.2522 0.1647 0.8354
8 Hf 0.2478 0.6647 0.8354
9 N 0.5000 0.5000 0.0000
10 N 0.0000 0.0000 0.0000
11 O 0.0000 0.0000 0.5000
12 O 0.5000 0.5000 0.5000

Values from the calculation:
N(E_F) = 5.13 states/eV/cell
Calculated total energy = -10.357 eV per atom
Magnetic moment = 0.00 μB/f.u.
ΔE to the lowest computed polymorph = 0 kJ/mol of formula units
E_form (uncorrected) = -1.51 eV/atom